Entry 1:
Material: Be2MoPd2
Method: DFT, PBE
State: optimized geometry

a = 5.421 Å, b = 5.421 Å, c = 5.421 Å
α = 140.34°, β = 140.34°, γ = 57.33°
Element x y z (fractional)
Be1 0.105 0.105 0.000
Be2 0.895 0.895 0.000
Mo1 0.500 0.500 0.000
Pd1 0.250 0.750 0.500
Pd2 0.750 0.250 0.500

## Properties
Its energy above the most stable polymorph in this dataset is 0.293 eV per atom. The value obtained for the density of states at the Fermi level is 4.1 states/eV/f.u. As for the total energy: -5.68 eV/atom. As for the total magnetization: 0.00 Bohr magnetons per cell. The formation energy is 0.06 eV/atom.


Entry 2:
Material: Be2MoPd2
Method: DFT, PBE
State: optimized geometry

a = 6.743 Å, b = 6.743 Å, c = 2.726 Å
α = 90.00°, β = 90.00°, γ = 90.00°
Element x y z (fractional)
Be1 0.130 0.370 0.000
Be2 0.370 0.870 0.000
Be3 0.630 0.130 0.000
Be4 0.870 0.630 0.000
Mo1 0.000 0.000 0.000
Mo2 0.500 0.500 0.000
Pd1 0.165 0.665 0.500
Pd2 0.335 0.165 0.500
Pd3 0.665 0.835 0.500
Pd4 0.835 0.335 0.500

## Properties
Its energy above the most stable polymorph in this dataset is 0.000 eV per atom. The value obtained for the density of states at the Fermi level is 2.8 states/eV/f.u. As for the total energy: -5.97 eV/atom. As for the total magnetization: 0.00 Bohr magnetons per cell. The formation energy is -0.24 eV/atom.


Entry 3:
Material: BeMo2Pd
Method: DFT, PBE
State: optimized geometry

a = 9.907 Å, b = 9.907 Å, c = 9.907 Å
α = 159.27°, β = 159.27°, γ = 29.49°
Element x y z (fractional)
Be1 0.000 0.000 0.000
Be2 0.750 0.250 0.500
Mo1 0.109 0.625 0.984
Mo2 0.375 0.359 0.484
Mo3 0.641 0.125 0.016
Mo4 0.875 0.891 0.516
Pd1 0.250 0.750 0.500
Pd2 0.500 0.500 0.000

## Properties
The value obtained for the density of states at the Fermi level is 2.5 states/eV/f.u. As for the total energy: -7.19 eV/atom. As for the total magnetization: 0.00 Bohr magnetons per cell. The formation energy is 0.45 eV/atom.